Compound: Pr5Ir2O12
Source: Alexandria
Functional: PBE-GGA
Structure: relaxed

The structure belongs to space group C2/m (No. 12); the cell edges are 12.846, 6.226 and 7.584 Å and the angles 90.00°, 107.04° and 90.00°. The distinct sites, in fractional coordinates, are Pr at (0.000, 0.000, 0.000), Pr at (0.195, 0.500, 0.336), Pr at (0.196, 0.500, 0.858), Ir at (0.000, 0.247, 0.500), O at (0.000, 0.000, 0.335), O at (0.001, 0.500, 0.329), O at (0.152, 0.248, 0.076) and O at (0.162, 0.265, 0.582).

Compound: Ac3LaPb3
Source: Alexandria
Functional: PBE-GGA
Structure: relaxed

The structure belongs to space group R-3 (No. 148, hexagonal axes); the cell edges are 9.9824, 9.9824 and 20.1241 Å and the angles 90.00°, 90.00° and 120.00°. The distinct sites, in fractional coordinates, are Ac at (0.0078, 0.2657, 0.0915), La at (0.0000, 0.0000, 0.3326) and Pb at (0.0038, 0.3917, 0.9260).

For the energy of formation from the pure elements, the calculation gives -0.4210 eV/atom.

Compound: AcY4Mg5
Source: Alexandria
Functional: PBE-GGA
Structure: relaxed

The structure belongs to space group P4/mmm (No. 123); the cell edges are 3.854, 3.854 and 19.458 Å and the angles 90.00°, 90.00° and 90.00°. The distinct sites, in fractional coordinates, are Ac at (0.000, 0.000, 0.000), Y at (0.000, 0.000, 0.212), Y at (0.000, 0.000, 0.404), Mg at (0.500, 0.500, 0.118), Mg at (0.500, 0.500, 0.307) and Mg at (0.500, 0.500, 0.500).

For the energy of formation from the pure elements, the calculation gives -0.0948 eV/atom.

Compound: MgScCd3
Source: Alexandria
Functional: PBE-GGA
Structure: relaxed

The structure belongs to space group Pm-3m (No. 221); the cell edges are 5.087, 5.087 and 5.087 Å and the angles 90.00°, 90.00° and 90.00°. The distinct sites, in fractional coordinates, are Mg at (0.000, 0.000, 0.000), Sc at (0.500, 0.500, 0.500) and Cd at (0.000, 0.000, 0.500).

For the energy of formation from the pure elements, the calculation gives 0.4363 eV/atom. The calculation puts the offset from the most stable computed form at 0.5598 eV per atom.

Number 1: E_tot -7.8205 eV per atom, spin magnetization 0.0 μB per formula unit. Number 2: E_tot -4.4750 eV per atom, spin magnetization 0.0 μB per formula unit. Number 3: E_tot -3.8886 eV per atom, spin magnetization 0.0 μB per formula unit. Number 4: E_tot -1.6980 eV per atom, spin magnetization 0.0 μB per formula unit.